VASP calculation (PBE) on a geometry-optimized Ac2AgC2O7 structure.

Summary:
The calculation puts the calculated volume at 246 Å³/f.u. The calculation puts the total magnetization at 0.000 μB/atom. The energy relative to the elements, uncorrected is -1998 meV/atom. The energy comes out at -7.350 eV per atom. Its symmetry is R-3m (166).

The structure in POSCAR format:
```
Ac2AgC2O7
1.0
2.658 1.535 10.055
-2.658 1.535 10.055
0.000 -3.069 10.055
Ac Ag C O
2 1 2 7
Cartesian
0.000 0.000 2.207
0.000 0.000 27.959
0.000 0.000 15.083
0.000 0.000 7.440
0.000 0.000 22.725
0.000 0.000 0.000
-1.532 -0.884 12.667
0.000 -1.769 17.498
-1.532 0.884 17.498
1.532 -0.884 12.667
0.000 1.769 12.667
1.532 0.884 17.498
```